[1]
A plane-wave DFT calculation with PBE-GGA was carried out for an optimized crystal structure of SrLiTl2.

Calculated values
Total energy   -2.401 eV/atom
DOS at the Fermi energy   2.3 states/eV per cell

a b c (Å): 4.878 4.878 6.413
angles (deg): 67.62 67.62 59.98
Atoms (fractional coordinates):
Sr  0.250  0.250  0.250
Tl  0.036  0.036  0.892
Tl  0.464  0.464  0.608
Li  0.750  0.750  0.750

[2]
A plane-wave DFT calculation with PBE-GGA was carried out for an optimized crystal structure of Sr3Li3Tl2.

Calculated values
Total energy   -2.169 eV/atom
DOS at the Fermi energy   23.2 states/eV per cell

a b c (Å): 6.582 8.985 17.325
angles (deg): 90.00 90.00 90.00
Atoms (fractional coordinates):
Sr  0.129  0.467  0.396
Sr  0.629  0.033  0.604
Sr  0.871  0.533  0.896
Sr  0.371  0.967  0.104
Sr  0.871  0.533  0.604
Sr  0.371  0.967  0.396
Sr  0.129  0.467  0.104
Sr  0.629  0.033  0.896
Sr  0.642  0.336  0.250
Sr  0.142  0.164  0.750
Sr  0.358  0.664  0.750
Sr  0.858  0.836  0.250
Li  0.109  0.171  0.250
Li  0.609  0.329  0.750
Li  0.891  0.829  0.750
Li  0.391  0.671  0.250
Li  0.601  0.330  0.465
Li  0.101  0.170  0.535
Li  0.399  0.670  0.965
Li  0.899  0.830  0.035
Li  0.399  0.670  0.535
Li  0.899  0.830  0.465
Li  0.601  0.330  0.035
Li  0.101  0.170  0.965
Tl  0.869  0.122  0.396
Tl  0.369  0.378  0.604
Tl  0.131  0.878  0.896
Tl  0.631  0.622  0.104
Tl  0.131  0.878  0.604
Tl  0.631  0.622  0.396
Tl  0.869  0.122  0.104
Tl  0.369  0.378  0.896